1.
Crystalline AlCdTc2 at its relaxed geometry, computed with GGA-PBE.

Output
Total magnetization ... 0.0 μB/f.u.
Space-group type ... P2/m (10)
E ... -6.124 eV/atom
Formation energy from the elements ... 5.2 kcal/mol of atoms
E above lowest polymorph ... 272.2 meV/atom

Cell lengths 2.7713, 4.3188, 5.4868 Å; angles 90.00, 103.26, 90.00 degrees
With the nearest neighbours (Å) after each atom.
Fractional coordinates of all 4 atoms:
Al (0.0000, 0.0000, 0.0000)  4 Tc 2.65, 2 Al 2.77, 2 Cd 2.78
Cd (0.5000, 0.0000, 0.5000)  2 Cd 2.77, 2 Al 2.78, 4 Tc 2.82
Tc (0.2469, 0.5000, 0.7756)  3 Tc 2.54-2.77, 2 Al 2.65, 2 Cd 2.82
Tc (0.7531, 0.5000, 0.2244)  3 Tc 2.54-2.77, 2 Al 2.65, 2 Cd 2.82

***

2.
Crystalline AlCdTc at its relaxed geometry, computed with GGA-PBE.

Output
Total magnetization ... 0.0 μB/f.u.
Space-group type ... P3m1 (156)
E ... -4.843 eV/atom
Formation energy from the elements ... 3.8 kcal/mol of atoms
E above lowest polymorph ... 35.4 meV/atom

Cell lengths 4.5000, 4.5000, 2.7975 Å; angles 90.00, 90.00, 120.00 degrees
With the nearest neighbours (Å) after each atom.
Fractional coordinates of all 3 atoms:
Al (0.0000, 0.0000, 0.0000)  3 Cd 2.66, 3 Tc 2.76, 2 Al 2.80
Cd (0.6667, 0.3333, 0.2026)  3 Al 2.66, 2 Cd 2.80, 3 Tc 2.90
Tc (0.3333, 0.6667, 0.6660)  3 Al 2.76, 2 Tc 2.80, 6 Cd 2.90-3.00

***

3.
Crystalline Al2CdTc at its relaxed geometry, computed with GGA-PBE.

Output
Total magnetization ... 0.6 μB/f.u.
Space-group type ... R3m (160)
E ... -4.587 eV/atom
Formation energy from the elements ... 2.4 kcal/mol of atoms

Cell lengths 2.9146, 2.9146, 27.7120 Å; angles 90.00, 90.00, 120.00 degrees
With the nearest neighbours (Å) after each atom.
Fractional coordinates of all 12 atoms:
Al (0.0000, 0.0000, 0.0000)  3 Tc 2.60, 3 Al 2.86
Al (0.0000, 0.0000, 0.2500)  9 Al 2.86-2.91, 3 Cd 3.04
Al (0.3333, 0.6667, 0.6667)  3 Tc 2.60, 3 Al 2.86
Al (0.3333, 0.6667, 0.9167)  9 Al 2.86-2.91, 3 Cd 3.04
Al (0.6667, 0.3333, 0.3333)  3 Tc 2.60, 3 Al 2.86
Al (0.6667, 0.3333, 0.5834)  9 Al 2.86-2.91, 3 Cd 3.04
Cd (0.0000, 0.0000, 0.4919)  6 Cd 2.91, 3 Tc 2.94, 3 Al 3.04
Cd (0.3333, 0.6667, 0.1586)  6 Cd 2.91, 3 Tc 2.94, 3 Al 3.04
Cd (0.6667, 0.3333, 0.8253)  6 Cd 2.91, 3 Tc 2.94, 3 Al 3.04
Tc (0.0000, 0.0000, 0.7383)  3 Al 2.60
Tc (0.3333, 0.6667, 0.4050)  3 Al 2.60
Tc (0.6667, 0.3333, 0.0716)  3 Al 2.60